The following is a DFT calculation (GGA-PBE) of a geometry-optimized RbCo3As structure.

Output
Theoretical density, kg/m³: 5575
Total energy, eV/atom: -4.627
Energy relative to the elements, eV/atom: 0.7597

```
data_RbCo3As
_symmetry_space_group_name_H-M 'P m -3 m'
_symmetry_Int_Tables_number 221
_symmetry_space_group_name_Hall '-P 4 2 3'
_cell_length_a 4.648
_cell_length_b 4.648
_cell_length_c 4.648
_cell_angle_alpha 90.00
_cell_angle_beta 90.00
_cell_angle_gamma 90.00
loop_
_atom_site_label
_atom_site_fract_x
_atom_site_fract_y
_atom_site_fract_z
Rb1 0.000 0.000 0.000
Co1 0.000 0.500 0.500
As1 0.500 0.500 0.500
```



The following is a DFT calculation (GGA-PBE) of a geometry-optimized FePt2Pb structure.

Output
Theoretical density, kg/m³: 15103
Total energy, eV/atom: -5.934
Energy relative to the elements, eV/atom: 0.1293

```
data_FePt2Pb
_symmetry_space_group_name_H-M 'R -3 m'
_symmetry_Int_Tables_number 166
_symmetry_space_group_name_Hall '-R 3 2"'
_cell_length_a 2.9933
_cell_length_b 2.9933
_cell_length_c 27.7662
_cell_angle_alpha 90.00
_cell_angle_beta 90.00
_cell_angle_gamma 120.00
loop_
_atom_site_label
_atom_site_fract_x
_atom_site_fract_y
_atom_site_fract_z
Fe1 0.0000 0.0000 0.0000
Pt1 0.0000 0.0000 0.2620
Pb1 0.0000 0.0000 0.5000
```



The following is a DFT calculation (GGA-PBE) of a geometry-optimized BeMoPt structure.

Output
Theoretical density, kg/m³: 12375
Total energy, eV/atom: -7.105
Energy relative to the elements, eV/atom: -0.2392

```
data_BeMoPt
_symmetry_space_group_name_H-M 'C m m 2'
_symmetry_Int_Tables_number 35
_cell_length_a 4.727
_cell_length_b 12.503
_cell_length_c 2.724
_cell_angle_alpha 90.00
_cell_angle_beta 90.00
_cell_angle_gamma 90.00
loop_
_symmetry_equiv_pos_as_xyz
'x,y,z'
'-x,-y,z'
'-x,y,z'
'x,-y,z'
'x+1/2,y+1/2,z'
'-x+1/2,-y+1/2,z'
'-x+1/2,y+1/2,z'
'x+1/2,-y+1/2,z'
loop_
_atom_site_label
_atom_site_fract_x
_atom_site_fract_y
_atom_site_fract_z
Be1 0.232 0.000 0.000
Mo1 0.000 0.185 0.998
Pt1 0.000 0.380 0.498
```



The following is a DFT calculation (GGA-PBE) of a geometry-optimized Rb2USnTe4 structure.

Output
Theoretical density, kg/m³: 5474
Total energy, eV/atom: -4.492

```
data_Rb2USnTe4
_symmetry_space_group_name_H-M 'P 1 2/m 1'
_symmetry_Int_Tables_number 10
_cell_length_a 8.120
_cell_length_b 4.618
_cell_length_c 8.785
_cell_angle_alpha 90.00
_cell_angle_beta 107.08
_cell_angle_gamma 90.00
loop_
_symmetry_equiv_pos_as_xyz
'x,y,z'
'-x,-y,-z'
'-x,y,-z'
'x,-y,z'
loop_
_atom_site_label
_atom_site_fract_x
_atom_site_fract_y
_atom_site_fract_z
Rb1 0.000 0.000 0.000
Rb2 0.500 0.500 0.000
U1 0.000 0.500 0.500
Sn1 0.500 0.000 0.500
Te1 0.222 0.000 0.696
Te2 0.252 0.500 0.303
```



The following is a DFT calculation (GGA-PBE) of a geometry-optimized K2InI3 structure.

Output
Theoretical density, kg/m³: 3515
Total energy, eV/atom: -2.736

```
data_K2InI3
_symmetry_space_group_name_H-M 'I m m m'
_symmetry_Int_Tables_number 71
_symmetry_space_group_name_Hall '-I 2 2'
_cell_length_a 5.034
_cell_length_b 7.103
_cell_length_c 15.157
_cell_angle_alpha 90.00
_cell_angle_beta 90.00
_cell_angle_gamma 90.00
loop_
_atom_site_label
_atom_site_fract_x
_atom_site_fract_y
_atom_site_fract_z
K1 0.000 0.000 0.166
In1 0.000 0.000 0.500
I1 0.000 0.500 0.165
I2 0.000 0.500 0.500
```



The following is a DFT calculation (GGA-PBE) of a geometry-optimized LiEr2Ga3Cu12 structure.

Output
Theoretical density, kg/m³: 7663
Total energy, eV/atom: -3.769
Energy relative to the elements, eV/atom: 0.0793

```
data_LiEr2Ga3Cu12
_symmetry_space_group_name_H-M 'R -3 m'
_symmetry_Int_Tables_number 166
_symmetry_space_group_name_Hall '-R 3 2"'
_cell_length_a 5.3141
_cell_length_b 5.3141
_cell_length_c 34.9078
_cell_angle_alpha 90.00
_cell_angle_beta 90.00
_cell_angle_gamma 120.00
loop_
_atom_site_label
_atom_site_fract_x
_atom_site_fract_y
_atom_site_fract_z
Li1 0.0000 0.0000 0.0000
Er1 0.0000 0.0000 0.3578
Ga1 0.0000 0.5000 0.5000
Cu1 0.0002 0.5001 0.3883
Cu2 0.0192 0.5096 0.1097
```